1.
A plane-wave DFT calculation with GGA-PBE was carried out for a geometry-optimized TiTe2O structure.

Structure (POSCAR):
```
TiTe2O
1.0
3.905 0.000 0.000
-1.953 3.382 0.000
0.000 0.000 21.794
Ti Te O
3 6 3
Direct
0.000 0.000 0.000
0.333 0.667 0.667
0.667 0.333 0.333
0.000 0.000 0.407
0.000 0.000 0.593
0.333 0.667 0.073
0.333 0.667 0.260
0.667 0.333 0.740
0.667 0.333 0.927
0.000 0.000 0.500
0.333 0.667 0.167
0.667 0.333 0.833
```

## Properties
V: 287.9 Å³ per cell
raw formation energy: -0.4862 eV per atom

2.
A plane-wave DFT calculation with GGA-PBE was carried out for a geometry-optimized Sc2Al2MoRu5 structure.

Structure (POSCAR):
```
Sc2Al2MoRu5
1.0
9.902 0.000 0.000
0.000 9.902 0.000
0.000 0.000 3.225
Sc Al Mo Ru
4 4 2 10
Direct
0.170 0.330 0.000
0.330 0.830 0.000
0.670 0.170 0.000
0.830 0.670 0.000
0.128 0.628 0.000
0.372 0.128 0.000
0.628 0.872 0.000
0.872 0.372 0.000
0.000 0.000 0.000
0.500 0.500 0.000
0.000 0.500 0.500
0.067 0.803 0.500
0.197 0.067 0.500
0.303 0.567 0.500
0.433 0.303 0.500
0.500 0.000 0.500
0.567 0.697 0.500
0.697 0.433 0.500
0.803 0.933 0.500
0.933 0.197 0.500
```

## Properties
V: 316.3 Å³ per cell
energy relative to the elements: -0.377 eV per atom

3.
A plane-wave DFT calculation with GGA-PBE was carried out for a geometry-optimized Ca2AlHPb structure.

Structure (POSCAR):
```
Ca2AlHPb
1.0
4.892 0.000 0.000
0.000 4.892 0.000
0.000 0.000 4.577
Ca Al H Pb
2 1 1 1
Direct
0.000 0.500 0.000
0.500 0.000 0.000
0.000 0.000 0.500
0.000 0.000 0.000
0.500 0.500 0.500
```

## Properties
calculated total energy: -3.254 eV per atom
V: 109.5 Å³ per cell

4.
A plane-wave DFT calculation with GGA-PBE was carried out for a geometry-optimized LaTaRe2 structure.

Structure (POSCAR):
```
LaTaRe2
1.0
6.705 0.000 0.000
0.000 6.705 0.000
0.000 0.000 6.705
La Ta Re
4 4 8
Direct
0.000 0.000 0.000
0.000 0.500 0.500
0.500 0.000 0.500
0.500 0.500 0.000
0.000 0.000 0.500
0.000 0.500 0.000
0.500 0.000 0.000
0.500 0.500 0.500
0.250 0.250 0.250
0.250 0.250 0.750
0.250 0.750 0.250
0.250 0.750 0.750
0.750 0.250 0.250
0.750 0.250 0.750
0.750 0.750 0.250
0.750 0.750 0.750
```

## Properties
V: 301.4 Å³ per cell
energy relative to the elements: 0.393 eV per atom

5.
A plane-wave DFT calculation with GGA-PBE was carried out for a geometry-optimized KNaZnGa2 structure.

Structure (POSCAR):
```
KNaZnGa2
1.0
4.997 0.000 0.000
0.000 4.997 0.000
0.000 0.000 5.594
K Na Zn Ga
1 1 1 2
Direct
0.000 0.000 0.000
0.500 0.500 0.000
0.500 0.500 0.500
0.000 0.500 0.500
0.500 0.000 0.500
```

## Properties
V: 139.7 Å³ per cell
energy relative to the elements: 0.088 eV per atom

6.
A plane-wave DFT calculation with GGA-PBE was carried out for a geometry-optimized BaPuN2 structure.

Structure (POSCAR):
```
BaPuN2
1.0
3.586 0.000 0.000
-1.793 3.106 0.000
0.000 0.000 19.244
Ba Pu N
3 3 6
Direct
0.000 0.000 0.000
0.333 0.667 0.667
0.667 0.333 0.333
0.000 0.000 0.829
0.333 0.667 0.495
0.667 0.333 0.162
0.000 0.000 0.218
0.000 0.000 0.433
0.333 0.667 0.100
0.333 0.667 0.884
0.667 0.333 0.551
0.667 0.333 0.766
```

## Properties
V: 214.3 Å³ per cell
raw formation energy: -0.8328 eV per atom

7.
A plane-wave DFT calculation with GGA-PBE was carried out for a geometry-optimized Mg2TlCuRu structure.

Structure (POSCAR):
```
Mg2TlCuRu
1.0
5.150 0.000 0.000
0.000 5.150 0.000
0.000 0.000 5.138
Mg Tl Cu Ru
2 1 1 1
Direct
0.000 0.500 0.000
0.500 0.000 0.000
0.000 0.000 0.000
0.500 0.500 0.500
0.000 0.000 0.500
```

## Properties
V: 136.3 Å³ per cell
energy relative to the elements: 1.283 eV per atom

8.
A plane-wave DFT calculation with GGA-PBE was carried out for a geometry-optimized Gd2PdO structure.

Structure (POSCAR):
```
Gd2PdO
1.0
3.192 0.000 0.000
0.000 3.192 0.000
0.000 0.000 7.128
Gd Pd O
2 1 1
Direct
0.000 0.000 0.222
0.000 0.000 0.778
0.500 0.500 0.500
0.500 0.500 0.000
```

## Properties
V: 72.6 Å³ per cell
raw formation energy: -1.3059 eV per atom

9.
A plane-wave DFT calculation with GGA-PBE was carried out for a geometry-optimized Rb2AlCl5 structure.

Structure (POSCAR):
```
Rb2AlCl5
1.0
7.486 0.000 0.000
0.000 7.486 0.000
0.000 0.000 9.400
Rb Al Cl
4 2 10
Direct
0.000 0.500 0.000
0.000 0.500 0.500
0.500 0.000 0.000
0.500 0.000 0.500
0.000 0.000 0.292
0.500 0.500 0.792
0.000 0.000 0.524
0.212 0.212 0.240
0.212 0.788 0.240
0.288 0.288 0.740
0.288 0.712 0.740
0.500 0.500 0.024
0.712 0.288 0.740
0.712 0.712 0.740
0.788 0.212 0.240
0.788 0.788 0.240
```

## Properties
V: 526.8 Å³ per cell
raw formation energy: -1.7841 eV per atom

10.
A plane-wave DFT calculation with GGA-PBE was carried out for a geometry-optimized Pr2AgSn2 structure.

Structure (POSCAR):
```
Pr2AgSn2
1.0
5.828 -2.377 0.000
5.828 2.377 0.000
-5.141 0.000 10.047
Pr Ag Sn
4 2 4
Direct
0.011 0.011 0.331
0.183 0.183 0.102
0.817 0.817 0.898
0.989 0.989 0.669
0.283 0.283 0.653
0.717 0.717 0.347
0.356 0.356 0.429
0.470 0.470 0.116
0.530 0.530 0.884
0.644 0.644 0.571
```

## Properties
V: 278.4 Å³ per cell
energy relative to the elements: -0.647 eV per atom

11.
A plane-wave DFT calculation with GGA-PBE was carried out for a geometry-optimized SmHo4Al4 structure.

Structure (POSCAR):
```
SmHo4Al4
1.0
-4.902 4.902 2.534
4.902 -4.902 2.534
4.902 4.902 -2.534
Sm Ho Al
1 4 4
Direct
0.000 0.000 0.000
0.111 0.647 0.758
0.353 0.111 0.465
0.647 0.889 0.535
0.889 0.353 0.242
0.323 0.423 0.746
0.423 0.677 0.099
0.577 0.323 0.901
0.677 0.577 0.254
```

## Properties
V: 243.6 Å³ per cell
energy relative to the elements: -0.165 eV per atom

12.
A plane-wave DFT calculation with GGA-PBE was carried out for a geometry-optimized Mg2InCoRh structure.

Structure (POSCAR):
```
Mg2InCoRh
1.0
4.575 0.000 0.000
0.000 4.575 0.000
0.000 0.000 4.757
Mg In Co Rh
2 1 1 1
Direct
0.000 0.500 0.000
0.500 0.000 0.000
0.000 0.000 0.500
0.000 0.000 0.000
0.500 0.500 0.500
```

## Properties
V: 99.6 Å³ per cell
energy relative to the elements: 0.465 eV per atom